Here is a geometry-optimized ZrFeReBi structure from OQMD. Energies are from PBE.

It has space group F-43m (No. 216), with a = 6.5277 Å, b = 6.5277 Å, c = 6.5277 Å, α = 90.00°, β = 90.00° and γ = 90.00°. The inequivalent atoms are Zr at (0.0000, 0.0000, 0.0000), Fe at (0.2500, 0.2500, 0.7500), Re at (0.2500, 0.2500, 0.2500) and Bi at (0.0000, 0.0000, 0.5000).

The value obtained for the raw total energy is -31.98 eV/f.u. As for the distance to the lowest polymorph of the same formula: 0 meV per atom.